1.
Density functional theory data (PBE) for Ba2Cd4SnHg3 after structural relaxation.

a b c (Å): 4.8363 4.8363 12.6441
angles (deg): 90.00 90.00 90.00
Closest atoms and distances in Å follow each position.
Element x y z (fractional)
Ba  0.5000  0.0000  0.2519  6 Hg 3.71-3.96, 8 Cd 3.71-4.00, 2 Sn 3.96
Ba  0.0000  0.5000  0.7481  6 Hg 3.71-3.96, 8 Cd 3.71-4.00, 2 Sn 3.96
Cd  0.5000  0.5000  0.0000  4 Hg 2.99
Cd  0.0000  0.0000  0.0000  4 Hg 2.99
Cd  0.5000  0.0000  0.6347  3 Hg 2.87-2.96, 2 Sn 2.96
Cd  0.0000  0.5000  0.3653  3 Hg 2.87-2.96, 2 Sn 2.96
Sn  0.5000  0.5000  0.5000  4 Cd 2.96
Hg  0.0000  0.0000  0.5000  4 Cd 2.96
Hg  0.5000  0.0000  0.8615  5 Cd 2.87-2.99
Hg  0.0000  0.5000  0.1385  5 Cd 2.87-2.99

Calculated values
Its formation energy is -0.341 eV per atom. The calculation puts the total DFT energy (no corrections) at -1.58 eV/atom. The value obtained for the density is 8.1 g/cm³.


2.
Density functional theory data (PBE) for Ba2SrCd3Hg12 after structural relaxation.

a b c (Å): 13.0675 13.0675 13.0675
angles (deg): 32.51 32.51 32.51
Closest atoms and distances in Å follow each position.
Element x y z (fractional)
Ba  0.6343  0.6343  0.6343  12 Hg 3.59-3.85
Ba  0.3657  0.3657  0.3657  12 Hg 3.59-3.85
Sr  0.0000  0.0000  0.0000  6 Hg 3.19
Cd  0.5000  0.0000  0.0000  4 Hg 2.95
Cd  0.0000  0.5000  0.0000  4 Hg 2.95
Cd  0.0000  0.0000  0.5000  4 Hg 2.95
Hg  0.4086  0.4086  0.8343  2 Cd 2.95, 4 Hg 3.08-3.11
Hg  0.8735  0.8735  0.4280  4 Hg 3.08-3.26, 1 Sr 3.19
Hg  0.4280  0.8735  0.8735  4 Hg 3.08-3.26, 1 Sr 3.19
Hg  0.8343  0.4086  0.4086  2 Cd 2.95, 4 Hg 3.08-3.11
Hg  0.8735  0.4280  0.8735  4 Hg 3.08-3.26, 1 Sr 3.19
Hg  0.4086  0.8343  0.4086  2 Cd 2.95, 4 Hg 3.08-3.11
Hg  0.5914  0.5914  0.1657  2 Cd 2.95, 4 Hg 3.08-3.11
Hg  0.1265  0.1265  0.5720  4 Hg 3.08-3.26, 1 Sr 3.19
Hg  0.5720  0.1265  0.1265  4 Hg 3.08-3.26, 1 Sr 3.19
Hg  0.1657  0.5914  0.5914  2 Cd 2.95, 4 Hg 3.08-3.11
Hg  0.1265  0.5720  0.1265  4 Hg 3.08-3.26, 1 Sr 3.19
Hg  0.5914  0.1657  0.5914  2 Cd 2.95, 4 Hg 3.08-3.11

Calculated values
Its formation energy is -0.178 eV per atom. The calculation puts the total DFT energy (no corrections) at -0.84 eV/atom. The value obtained for the density is 9.0 g/cm³.